A geometry-optimized LaMoNF2 structure. Source: Alexandria via LeMat-Bulk, functional PBE+U.

Cell lengths 4.2634, 4.2634, 4.2050 Å; angles 90.00, 90.00, 90.00 degrees
Closest atoms and distances in Å follow each position.
Sites, in units of the cell vectors:
La  0.0000  0.0000  0.0000  8 F 2.99, 4 N 3.01
Mo  0.5000  0.5000  0.5000  2 N 2.10, 4 F 2.13
N  0.5000  0.5000  0.0000  2 Mo 2.10
F  0.0000  0.5000  0.5000  2 Mo 2.13
F  0.5000  0.0000  0.5000  2 Mo 2.13

Summary:
Symmetry: No. 123
Calculated density: 6.232 g/cm³
Distance to the lowest polymorph of the same formula: 0 meV per atom
N(E_F): 1.5 states/eV/cell
Size of the total moment: 1.8 μB/cell
Volume: 15.29 Å³ per atom
Electronic total energy: -6.17 eV per atom